Density functional theory data (PBE) for Ho2Ag2RhO6 after structural relaxation.

Its electronic total energy is -71.25 eV per cell. As for the symmetry: C2/m, No. 12. The value obtained for the total magnetic moment is 1.03 Bohr magnetons per cell. The calculation puts the density of states at the Fermi level at 5.57 states/eV/f.u.

The structure in extended XYZ format:
```
11
Lattice="5.772 -0.166 0.797 -2.997 4.936 0.797 -0.295 -0.506 6.387" Properties=species:S:1:pos:R:3 pbc="T T T"
O -1.516 4.344 5.256
O -2.045 3.434 2.724
O 0.838 1.440 2.730
O 3.996 -0.081 2.724
O 1.642 2.823 5.251
O 4.525 0.829 5.256
Ho 2.663 1.303 3.990
Ho -0.183 2.959 3.990
Ag -1.685 4.172 0.797
Ag 4.460 0.597 0.797
Rh -0.147 -0.253 3.193
```